a:
Computed, not measured: crystalline Na3YC at its relaxed geometry at the PBE level of DFT.

abc: 5.011 5.011 5.011
angles: 90.00 90.00 90.00
Space group Pm-3m (No. 221)
Asymmetric unit:
Na1 0.000 0.000 0.500 x3
Y1 0.500 0.500 0.500 x1
C1 0.000 0.000 0.000 x1

Calculated values
DOS at the Fermi energy: 1.160 states/eV/atom

=====

b:
Computed, not measured: crystalline Na3YC at its relaxed geometry at the PBE level of DFT.

abc: 6.333 6.333 6.333
angles: 90.00 90.00 90.00
Space group Pm-3m (No. 221)
Asymmetric unit:
Na1 0.000 0.000 0.500 x3
Y1 0.000 0.000 0.000 x1
C1 0.500 0.500 0.500 x1

Calculated values
DOS at the Fermi energy: 2.890 states/eV/atom

=====

Last place for stability: b

=====

a:
Computed, not measured: crystalline NaZr2C2 at its relaxed geometry at the PBE level of DFT.

abc: 6.571 6.571 3.162
angles: 90.00 90.00 90.00
Space group P4/mbm (No. 127)
Asymmetric unit:
Na1 0.000 0.000 0.000 x2
Zr1 0.156 0.344 0.500 x4
C1 0.157 0.657 0.000 x4

Calculated values
DOS at the Fermi energy: 0.491 states/eV/atom

=====

b:
Computed, not measured: crystalline NaZr2C2 at its relaxed geometry at the PBE level of DFT.

abc: 4.383 4.383 11.734
angles: 90.00 90.00 90.00
Space group I4/mmm (No. 139)
Asymmetric unit:
Na1 0.000 0.000 0.000 x2
Zr1 0.000 0.500 0.250 x4
C1 0.000 0.000 0.302 x4

Calculated values
DOS at the Fermi energy: 0.455 states/eV/atom

=====

Last place for stability: a

=====

a:
Computed, not measured: crystalline NaZrC2 at its relaxed geometry at the PBE level of DFT.

abc: 4.914 4.914 13.202
angles: 90.00 90.00 90.00
Space group I-42d (No. 122)
Asymmetric unit:
Na1 0.000 0.000 0.000 x4
Zr1 0.000 0.000 0.500 x4
C1 0.137 0.250 0.625 x8

Calculated values
DOS at the Fermi energy: 0.635 states/eV/atom

=====

b:
Computed, not measured: crystalline NaZrC2 at its relaxed geometry at the PBE level of DFT.

abc: 5.786 5.786 5.786
angles: 90.00 90.00 90.00
Space group Fm-3m (No. 225)
Asymmetric unit:
Na1 0.000 0.000 0.000 x4
Zr1 0.000 0.000 0.500 x4
C1 0.250 0.250 0.250 x8

Calculated values
DOS at the Fermi energy: 1.100 states/eV/atom

=====

Last place for stability: a

=====

a:
Computed, not measured: crystalline Nb4C3 at its relaxed geometry at the PBE level of DFT.

abc: 11.592 3.164 5.489
angles: 90.00 117.30 90.00
Space group C2/m (No. 12)
Asymmetric unit:
Nb1 0.127 0.000 0.455 x4
Nb2 0.129 0.500 0.973 x4
C1 0.000 0.000 0.000 x2
C2 0.236 0.500 0.731 x4

Calculated values
DOS at the Fermi energy: 0.366 states/eV/atom

=====

b:
Computed, not measured: crystalline Nb4C3 at its relaxed geometry at the PBE level of DFT.

abc: 3.1640 3.1640 30.8095
angles: 90.00 90.00 120.00
Space group R-3m (No. 166, hexagonal axes)
Asymmetric unit:
Nb1 0.0000 0.0000 0.1228 x6
Nb2 0.0000 0.0000 0.3756 x6
C1 0.0000 0.0000 0.2527 x6
C2 0.0000 0.0000 0.5000 x3

Calculated values
DOS at the Fermi energy: 0.586 states/eV/atom

=====

c:
Computed, not measured: crystalline Nb4C3 at its relaxed geometry at the PBE level of DFT.

abc: 4.469 4.469 4.469
angles: 90.00 90.00 90.00
Space group Pm-3m (No. 221)
Asymmetric unit:
Nb1 0.000 0.000 0.000 x1
Nb2 0.000 0.500 0.500 x3
C1 0.000 0.000 0.500 x3

Calculated values
DOS at the Fermi energy: 0.743 states/eV/atom

=====

Last place for stability: c

=====

a:
Computed, not measured: crystalline NdNbC2 at its relaxed geometry at the PBE level of DFT.

abc: 3.3755 3.3755 17.4385
angles: 90.00 90.00 120.00
Space group R-3m (No. 166, hexagonal axes)
Asymmetric unit:
Nd1 0.0000 0.0000 0.0000 x3
Nb1 0.0000 0.0000 0.5000 x3
C1 0.0000 0.0000 0.2355 x6

Calculated values
DOS at the Fermi energy: 0.194 states/eV/atom

=====

b:
Computed, not measured: crystalline NdNbC2 at its relaxed geometry at the PBE level of DFT.

abc: 5.878 3.677 11.205
angles: 90.00 90.00 90.00
Space group Pnma (No. 62)
Asymmetric unit:
Nd1 0.085 0.250 0.141 x4
Nb1 0.088 0.750 0.394 x4
C1 0.149 0.250 0.750 x4
C2 0.207 0.250 0.475 x4

Calculated values
DOS at the Fermi energy: 0.176 states/eV/atom

=====

Last place for stability: a

=====

a:
Computed, not measured: crystalline NbNiC3 at its relaxed geometry at the PBE level of DFT.

abc: 3.708 3.708 3.708
angles: 90.00 90.00 90.00
Space group Pm-3m (No. 221)
Asymmetric unit:
Nb1 0.000 0.000 0.000 x1
Ni1 0.500 0.500 0.500 x1
C1 0.000 0.500 0.500 x3

Calculated values
DOS at the Fermi energy: 0.747 states/eV/atom

=====

b:
Computed, not measured: crystalline NbNiC3 at its relaxed geometry at the PBE level of DFT.

abc: 4.145 4.145 4.145
angles: 90.00 90.00 90.00
Space group Pm-3m (No. 221)
Asymmetric unit:
Nb1 0.000 0.000 0.000 x1
Ni1 0.500 0.500 0.500 x1
C1 0.000 0.000 0.500 x3

Calculated values
DOS at the Fermi energy: 0.671 states/eV/atom

=====

Last place for stability: b

=====

a:
Computed, not measured: crystalline NpNbC2 at its relaxed geometry at the PBE level of DFT.

abc: 3.2670 3.2670 16.8157
angles: 90.00 90.00 120.00
Space group R-3m (No. 166, hexagonal axes)
Asymmetric unit:
Np1 0.0000 0.0000 0.0000 x3
Nb1 0.0000 0.0000 0.5000 x3
C1 0.0000 0.0000 0.2434 x6

Calculated values
DOS at the Fermi energy: 0.712 states/eV/atom

=====

b:
Computed, not measured: crystalline NpNbC2 at its relaxed geometry at the PBE level of DFT.

abc: 3.1834 3.1834 17.7651
angles: 90.00 90.00 120.00
Space group R3m (No. 160, hexagonal axes)
Asymmetric unit:
Np1 0.0000 0.0000 0.0000 x3
Nb1 0.0000 0.0000 0.8268 x3
C1 0.0000 0.0000 0.2385 x3
C2 0.0000 0.0000 0.4214 x3

Calculated values
DOS at the Fermi energy: 0.926 states/eV/atom

=====

Last place for stability: b

=====

a:
Computed, not measured: crystalline NbPCO2 at its relaxed geometry at the PBE level of DFT.

abc: 3.709 3.709 3.783
angles: 90.00 90.00 90.00
Space group P4/mmm (No. 123)
Asymmetric unit:
Nb1 0.000 0.000 0.000 x1
P1 0.500 0.500 0.000 x1
C1 0.500 0.500 0.500 x1
O1 0.000 0.500 0.500 x2

Calculated values
DOS at the Fermi energy: 0.524 states/eV/atom

=====

b:
Computed, not measured: crystalline NbPCO2 at its relaxed geometry at the PBE level of DFT.

abc: 3.810 3.810 5.462
angles: 90.00 90.00 90.00
Space group P4/mmm (No. 123)
Asymmetric unit:
Nb1 0.000 0.000 0.000 x1
P1 0.000 0.000 0.500 x1
C1 0.500 0.500 0.500 x1
O1 0.000 0.500 0.000 x2

Calculated values
DOS at the Fermi energy: 0.578 states/eV/atom

=====

Last place for stability: a

=====

a:
Computed, not measured: crystalline NbP2CO at its relaxed geometry at the PBE level of DFT.

abc: 3.867 3.867 3.946
angles: 90.00 90.00 90.00
Space group P4/mmm (No. 123)
Asymmetric unit:
Nb1 0.000 0.000 0.000 x1
P1 0.000 0.500 0.500 x2
C1 0.500 0.500 0.500 x1
O1 0.500 0.500 0.000 x1

Calculated values
DOS at the Fermi energy: 0.405 states/eV/atom

=====

b:
Computed, not measured: crystalline NbP2CO at its relaxed geometry at the PBE level of DFT.

abc: 4.921 4.921 3.846
angles: 90.00 90.00 90.00
Space group P4/mmm (No. 123)
Asymmetric unit:
Nb1 0.000 0.000 0.000 x1
P1 0.000 0.500 0.000 x2
C1 0.500 0.500 0.500 x1
O1 0.000 0.000 0.500 x1

Calculated values
DOS at the Fermi energy: 0.606 states/eV/atom

=====

Last place for stability: b

=====

a:
Computed, not measured: crystalline NbOs2RuC at its relaxed geometry at the PBE level of DFT.

abc: 4.015 4.015 4.271
angles: 90.00 90.00 90.00
Space group P4/mmm (No. 123)
Asymmetric unit:
Nb1 0.000 0.000 0.000 x1
Os1 0.000 0.500 0.500 x2
Ru1 0.500 0.500 0.000 x1
C1 0.000 0.000 0.500 x1

Calculated values
DOS at the Fermi energy: 0.812 states/eV/atom

=====

b:
Computed, not measured: crystalline NbOs2RuC at its relaxed geometry at the PBE level of DFT.

abc: 4.073 4.073 4.099
angles: 90.00 90.00 90.00
Space group P4/mmm (No. 123)
Asymmetric unit:
Nb1 0.000 0.000 0.000 x1
Os1 0.000 0.500 0.500 x2
Ru1 0.500 0.500 0.000 x1
C1 0.500 0.500 0.500 x1

Calculated values
DOS at the Fermi energy: 0.719 states/eV/atom

=====

Last place for stability: a

=====

a:
Computed, not measured: crystalline NbPb3C at its relaxed geometry at the PBE level of DFT.

abc: 4.892 4.892 4.892
angles: 90.00 90.00 90.00
Space group Pm-3m (No. 221)
Asymmetric unit:
Nb1 0.000 0.000 0.000 x1
Pb1 0.000 0.500 0.500 x3
C1 0.500 0.500 0.500 x1

Calculated values
DOS at the Fermi energy: 1.487 states/eV/atom

=====

b:
Computed, not measured: crystalline NbPb3C at its relaxed geometry at the PBE level of DFT.

abc: 5.513 5.513 5.513
angles: 90.00 90.00 90.00
Space group Pm-3m (No. 221)
Asymmetric unit:
Nb1 0.000 0.000 0.000 x1
Pb1 0.000 0.000 0.500 x3
C1 0.500 0.500 0.500 x1

Calculated values
DOS at the Fermi energy: 1.272 states/eV/atom

=====

Last place for stability: b

=====

a:
Computed, not measured: crystalline PuNbC at its relaxed geometry at the PBE level of DFT.

abc: 3.1972 3.1972 5.7007
angles: 90.00 90.00 120.00
Space group P3m1 (No. 156)
Asymmetric unit:
Pu1 0.0000 0.0000 0.0000 x1
Nb1 0.3333 0.6667 0.4833 x1
C1 0.6667 0.3333 0.2783 x1

Calculated values
DOS at the Fermi energy: 1.779 states/eV/atom

=====

b:
Computed, not measured: crystalline PuNbC at its relaxed geometry at the PBE level of DFT.

abc: 6.861 5.387 5.374
angles: 90.00 90.00 90.00
Space group Pbcm (No. 57)
Asymmetric unit:
Pu1 0.123 0.054 0.250 x4
Nb1 0.406 0.571 0.250 x4
C1 0.371 0.250 0.000 x4

Calculated values
DOS at the Fermi energy: 1.821 states/eV/atom

=====

Last place for stability: b

=====

a:
Computed, not measured: crystalline NbReC3 at its relaxed geometry at the PBE level of DFT.

abc: 4.051 4.051 4.051
angles: 90.00 90.00 90.00
Space group Pm-3m (No. 221)
Asymmetric unit:
Nb1 0.000 0.000 0.000 x1
Re1 0.500 0.500 0.500 x1
C1 0.000 0.000 0.500 x3

Calculated values
DOS at the Fermi energy: 2.075 states/eV/atom

=====

b:
Computed, not measured: crystalline NbReC3 at its relaxed geometry at the PBE level of DFT.

abc: 3.953 3.953 3.953
angles: 90.00 90.00 90.00
Space group Pm-3m (No. 221)
Asymmetric unit:
Nb1 0.000 0.000 0.000 x1
Re1 0.500 0.500 0.500 x1
C1 0.000 0.500 0.500 x3

Calculated values
DOS at the Fermi energy: 0.970 states/eV/atom

=====

Last place for stability: a